Entry from the Alexandria database: a geometry-optimized Nd4Ho8Tm structure (PBE).

* formation enthalpy at 0 K: 0.5183 eV per atom
* space group: R-3m, No. 166

Unit cell a=11.013 b=11.013 c=7.782 alpha=90.00 beta=135.04 gamma=120.00
Positions (direct):
Nd  0.000  0.000  0.000
Ho  0.000  0.759  0.240
Ho  0.481  0.241  0.722
Ho  0.000  0.241  0.240
Ho  0.519  0.759  0.760
Ho  0.000  0.759  0.760
Nd  0.500  0.500  0.000
Ho  0.519  0.759  0.278
Ho  0.481  0.241  0.240
Ho  0.000  0.241  0.760
Tm  0.000  0.500  0.500
Nd  0.000  0.500  0.000
Nd  0.500  0.000  0.000

=====

Entry from the Alexandria database: a geometry-optimized Nd3HoTm12 structure (PBE).

* formation enthalpy at 0 K: 0.0276 eV per atom
* space group: P4/mmm, No. 123

Unit cell a=4.985 b=4.985 c=19.961 alpha=90.00 beta=90.00 gamma=90.00
Positions (direct):
Tm  0.500  0.000  0.374
Nd  0.000  0.000  0.751
Tm  0.000  0.500  0.123
Tm  0.000  0.500  0.626
Nd  0.000  0.000  0.500
Tm  0.500  0.000  0.123
Nd  0.000  0.000  0.249
Tm  0.500  0.000  0.877
Tm  0.000  0.500  0.374
Tm  0.500  0.500  0.500
Tm  0.500  0.000  0.626
Tm  0.500  0.500  0.751
Tm  0.000  0.500  0.877
Tm  0.500  0.500  0.000
Ho  0.000  0.000  0.000
Tm  0.500  0.500  0.249

=====

Entry from the Alexandria database: a geometry-optimized Nd6Ho2Tm5 structure (PBE).

* formation enthalpy at 0 K: 0.1059 eV per atom
* space group: Pbam, No. 55

Unit cell a=3.612 b=11.667 c=20.465 alpha=90.00 beta=90.00 gamma=90.00
Positions (direct):
Nd  0.500  0.172  0.634
Nd  0.000  0.060  0.080
Tm  0.500  0.595  0.274
Nd  0.000  0.440  0.580
Ho  0.000  0.836  0.211
Nd  0.000  0.560  0.420
Nd  0.500  0.672  0.866
Ho  0.000  0.336  0.289
Tm  0.500  0.405  0.726
Tm  0.500  0.302  0.444
Tm  0.500  0.095  0.226
Ho  0.000  0.664  0.711
Tm  0.500  0.905  0.774
Nd  0.500  0.828  0.366
Ho  0.000  0.164  0.789
Nd  0.000  0.416  0.867
Nd  0.000  0.940  0.920
Nd  0.000  0.916  0.633
Nd  0.500  0.328  0.134
Tm  0.500  0.198  0.944
Tm  0.500  0.000  0.500
Tm  0.500  0.802  0.056
Tm  0.500  0.500  0.000
Nd  0.000  0.584  0.133
Tm  0.500  0.698  0.556
Nd  0.000  0.084  0.367

=====

Entry from the Alexandria database: a geometry-optimized Nd11Ho9Tm4 structure (PBE).

* formation enthalpy at 0 K: 0.0537 eV per atom
* space group: Cmmm, No. 65

Unit cell a=3.646 b=15.397 c=15.397 alpha=113.19 beta=90.00 gamma=90.00
Positions (direct):
Nd  0.000  0.000  0.000
Nd  0.000  0.161  0.839
Nd  0.000  0.957  0.595
Ho  0.500  0.630  0.166
Ho  0.500  0.370  0.834
Nd  0.000  0.405  0.043
Tm  0.500  0.555  0.759
Nd  0.000  0.707  0.707
Nd  0.000  0.595  0.957
Tm  0.500  0.241  0.445
Nd  0.000  0.293  0.293
Nd  0.000  0.631  0.369
Nd  0.000  0.839  0.161
Ho  0.500  0.069  0.214
Ho  0.500  0.786  0.931
Ho  0.500  0.931  0.786
Ho  0.500  0.214  0.069
Tm  0.500  0.759  0.555
Ho  0.500  0.166  0.630
Tm  0.500  0.445  0.241
Nd  0.000  0.369  0.631
Nd  0.000  0.043  0.405
Ho  0.500  0.834  0.370
Ho  0.500  0.500  0.500

=====

Entry from the Alexandria database: a geometry-optimized Nd4Ho2Tm structure (PBE).

* formation enthalpy at 0 K: 0.1260 eV per atom
* energy relative to the lowest polymorph listed for this composition: 0.067 eV per atom
* space group: P2_1/m, No. 11

Unit cell a=6.247 b=6.657 c=11.590 alpha=90.00 beta=104.57 gamma=90.00
Positions (direct):
Nd  0.646  0.989  0.284
Tm  0.852  0.250  0.836
Nd  0.849  0.250  0.549
Nd  0.046  0.750  0.867
Ho  0.712  0.750  0.579
Nd  0.151  0.750  0.451
Ho  0.388  0.250  0.006
Nd  0.354  0.489  0.716
Ho  0.612  0.750  0.994
Nd  0.354  0.011  0.716
Nd  0.954  0.250  0.133
Nd  0.646  0.511  0.284
Tm  0.148  0.750  0.164
Ho  0.288  0.250  0.421

=====

Entry from the Alexandria database: a geometry-optimized NdHo3Tm structure (PBE).

* formation enthalpy at 0 K: 0.0119 eV per atom
* energy relative to the lowest polymorph listed for this composition: 0.000 eV per atom
* space group: P2_1/m, No. 11

Unit cell a=9.588 b=5.638 c=6.274 alpha=90.00 beta=109.20 gamma=90.00
Positions (direct):
Ho  0.797  0.450  0.066
Tm  0.402  0.450  0.868
Nd  0.800  0.950  0.732
Nd  0.200  0.450  0.268
Tm  0.598  0.950  0.132
Ho  0.402  0.950  0.537
Ho  0.999  0.950  0.335
Ho  0.598  0.450  0.463
Ho  0.001  0.450  0.665
Ho  0.203  0.950  0.934

=====

Entry from the Alexandria database: a geometry-optimized NdHo5Tm6 structure (PBE).

* formation enthalpy at 0 K: 0.0232 eV per atom
* space group: C2/m, No. 12

Unit cell a=6.095 b=6.091 c=11.645 alpha=85.00 beta=79.97 gamma=59.98
Positions (direct):
Ho  0.333  0.333  0.000
Ho  0.833  0.334  0.500
Ho  0.167  0.666  0.500
Tm  0.749  0.000  0.749
Tm  0.083  0.334  0.748
Ho  0.500  0.000  0.500
Tm  0.417  0.666  0.748
Ho  0.667  0.667  0.000
Tm  0.917  0.666  0.252
Nd  0.000  0.000  0.000
Tm  0.251  0.000  0.251
Tm  0.583  0.334  0.252

=====

Entry from the Alexandria database: a geometry-optimized Nd3Ho8Tm structure (PBE).

* formation enthalpy at 0 K: 0.6282 eV per atom
* space group: I-42m, No. 121

Unit cell a=8.374 b=8.374 c=8.374 alpha=95.11 beta=117.09 gamma=117.09
Positions (direct):
Ho  0.000  0.881  0.629
Nd  0.500  0.750  0.250
Ho  0.487  0.232  0.232
Nd  0.500  0.250  0.750
Ho  0.000  0.255  0.768
Ho  0.000  0.768  0.255
Ho  0.000  0.629  0.881
Ho  0.749  0.119  0.119
Tm  0.000  0.000  0.000
Nd  0.000  0.500  0.500
Ho  0.251  0.371  0.371
Ho  0.513  0.745  0.745

=====

The Fermi-level density of states results, record by record, are as follows: 1.603, 1.420, 1.195, 1.241, 1.500, 1.658, 1.354, 1.497 states/eV/atom.
The energy results, record by record, are as follows: -53.4, -72.1, -117.5, -110.2, -63.6, -45.8, -54.2, -47.9 eV for the cell shown.